[1]
VASP calculation (PBE) on a geometry-optimized MnTlGeBr5 structure.

Results
- ΔE_f (raw) (kJ per mole of atoms) = -63.5

Cell: 9.0248 11.9618 9.7128 Å, 90.00 102.38 90.00°
Last column: nearest neighbours and their distance in Å.
Space group C2/c (No. 15)
Symmetry-distinct sites (fractional):
Mn 0.0000 0.0000 0.0000 (multiplicity 4)  6 Br 2.64-2.81
Tl 0.0000 0.3540 0.2500 (multiplicity 4)  3 Br 3.19-3.46
Ge 0.0000 0.3463 0.7500 (multiplicity 4)  2 Br 2.54
Br 0.0000 0.0876 0.2500 (multiplicity 4)  2 Mn 2.64
Br 0.1214 0.2046 0.6133 (multiplicity 8)  1 Ge 2.54, 1 Mn 2.81
Br 0.2170 0.4302 0.9881 (multiplicity 8)  1 Mn 2.67, 1 Ge 2.87

=====

[2]
VASP calculation (PBE) on a geometry-optimized Mn2TlGeBr structure.

Results
- ΔE_f (raw) (kJ per mole of atoms) = 48.5
- DOS at the Fermi energy (states/eV/cell) = 2.38

Cell: 5.1067 5.1067 5.9887 Å, 90.00 90.00 90.00°
Last column: nearest neighbours and their distance in Å.
Space group P4/mmm (No. 123)
Symmetry-distinct sites (fractional):
Mn 0.0000 0.5000 0.0000 (multiplicity 2)  2 Ge 2.55
Tl 0.0000 0.0000 0.5000 (multiplicity 1)  4 Br 3.61, 8 Mn 3.94
Ge 0.5000 0.5000 0.0000 (multiplicity 1)  4 Mn 2.55
Br 0.5000 0.5000 0.5000 (multiplicity 1)  2 Ge 2.99

=====

[3]
VASP calculation (PBE) on a geometry-optimized MnTl2GeBr6 structure.

Results
- ΔE_f (raw) (kJ per mole of atoms) = -69.9

Cell: 7.6976 7.6976 18.5117 Å, 90.00 90.00 120.00°
Last column: nearest neighbours and their distance in Å.
Space group R3 (No. 146, hexagonal axes)
Symmetry-distinct sites (fractional):
Mn 0.0000 0.0000 0.0000 (multiplicity 3)  6 Br 2.68
Tl 0.0000 0.0000 0.2330 (multiplicity 3)  6 Br 3.36-3.55
Tl 0.0000 0.0000 0.7662 (multiplicity 3)  6 Br 3.36-3.55
Ge 0.0000 0.0000 0.5001 (multiplicity 3)  6 Br 2.82
Br 0.0115 0.4406 0.7491 (multiplicity 9)  1 Mn 2.68, 1 Ge 2.82
Br 0.1076 0.7623 0.5837 (multiplicity 9)  1 Mn 2.68, 1 Ge 2.82

=====

[4]
VASP calculation (PBE) on a geometry-optimized MnZn2GeBr structure.

Results
- ΔE_f (raw) (kJ per mole of atoms) = 92.9
- DOS at the Fermi energy (states/eV/cell) = 4.47

Cell: 5.0673 5.0673 4.6843 Å, 90.00 90.00 90.00°
Last column: nearest neighbours and their distance in Å.
Space group P4/mmm (No. 123)
Symmetry-distinct sites (fractional):
Mn 0.0000 0.0000 0.0000 (multiplicity 1)  2 Br 2.34
Zn 0.0000 0.5000 0.5000 (multiplicity 2)  2 Br 2.53
Ge 0.5000 0.5000 0.0000 (multiplicity 1)  8 Zn 3.45, 4 Mn 3.58
Br 0.0000 0.0000 0.5000 (multiplicity 1)  2 Mn 2.34, 4 Zn 2.53

=====

[5]
VASP calculation (PBE) on a geometry-optimized Ge2MoBr structure.

Results
- excess energy over the best structure of this formula in the dataset (eV per atom) = 0.297
- ΔE_f (raw) (kJ per mole of atoms) = 94.3
- DOS at the Fermi energy (states/eV/cell) = 20.62

Cell: 6.6879 6.6879 6.6879 Å, 90.00 90.00 90.00°
Last column: nearest neighbours and their distance in Å.
Space group Fm-3m (No. 225)
Symmetry-distinct sites (fractional):
Ge 0.2500 0.2500 0.2500 (multiplicity 8)  4 Mo 2.90, 4 Br 2.90
Mo 0.0000 0.0000 0.0000 (multiplicity 4)  8 Ge 2.90
Br 0.0000 0.0000 0.5000 (multiplicity 4)  8 Ge 2.90

=====

[6]
VASP calculation (PBE) on a geometry-optimized Ge2MoBr structure.

Results
- excess energy over the best structure of this formula in the dataset (eV per atom) = 0.000
- ΔE_f (raw) (kJ per mole of atoms) = 65.7
- DOS at the Fermi energy (states/eV/cell) = 13.74

Cell: 6.1352 6.1352 12.2429 Å, 90.00 90.00 90.00°
Last column: nearest neighbours and their distance in Å.
Space group I-42d (No. 122)
Symmetry-distinct sites (fractional):
Ge 0.1796 0.2500 0.1250 (multiplicity 8)  2 Mo 2.43
Mo 0.0000 0.0000 0.0000 (multiplicity 4)  4 Ge 2.43
Br 0.0000 0.0000 0.5000 (multiplicity 4)  4 Ge 2.93

=====

[7]
VASP calculation (PBE) on a geometry-optimized Ge2MoOsBr structure.

Results
- ΔE_f (raw) (kJ per mole of atoms) = 100.8
- DOS at the Fermi energy (states/eV/cell) = 3.84

Cell: 4.9784 4.9784 4.7982 Å, 90.00 90.00 90.00°
Last column: nearest neighbours and their distance in Å.
Space group P4/mmm (No. 123)
Symmetry-distinct sites (fractional):
Ge 0.0000 0.5000 0.0000 (multiplicity 2)  2 Mo 2.49
Mo 0.0000 0.0000 0.0000 (multiplicity 1)  2 Os 2.40, 4 Ge 2.49
Os 0.0000 0.0000 0.5000 (multiplicity 1)  2 Mo 2.40
Br 0.5000 0.5000 0.5000 (multiplicity 1)  8 Ge 3.46, 4 Os 3.52

=====

[8]
VASP calculation (PBE) on a geometry-optimized GeMoSBr2 structure.

Results
- ΔE_f (raw) (kJ per mole of atoms) = 27.4
- DOS at the Fermi energy (states/eV/cell) = 4.87

Cell: 5.2824 5.2824 4.5790 Å, 90.00 90.00 90.00°
Last column: nearest neighbours and their distance in Å.
Space group P4/mmm (No. 123)
Symmetry-distinct sites (fractional):
Ge 0.0000 0.0000 0.0000 (multiplicity 1)  8 Br 3.50, 4 S 3.74
Mo 0.5000 0.5000 0.5000 (multiplicity 1)  2 S 2.29
S 0.5000 0.5000 0.0000 (multiplicity 1)  2 Mo 2.29
Br 0.0000 0.5000 0.5000 (multiplicity 2)  2 Mo 2.64

=====

[9]
VASP calculation (PBE) on a geometry-optimized SiGeMoBr2 structure.

Results
- ΔE_f (raw) (kJ per mole of atoms) = 96.4
- DOS at the Fermi energy (states/eV/cell) = 3.97

Cell: 5.0541 5.0541 5.2127 Å, 90.00 90.00 90.00°
Last column: nearest neighbours and their distance in Å.
Space group P4/mmm (No. 123)
Symmetry-distinct sites (fractional):
Si 0.0000 0.0000 0.0000 (multiplicity 1)  4 Br 2.53, 2 Mo 2.61
Ge 0.5000 0.5000 0.5000 (multiplicity 1)  4 Mo 3.57, 8 Br 3.63
Mo 0.0000 0.0000 0.5000 (multiplicity 1)  2 Si 2.61
Br 0.0000 0.5000 0.0000 (multiplicity 2)  2 Si 2.53

=====

[10]
VASP calculation (PBE) on a geometry-optimized Zr2GeMoBr structure.

Results
- ΔE_f (raw) (kJ per mole of atoms) = 77.4
- DOS at the Fermi energy (states/eV/cell) = 4.85

Cell: 4.9529 4.9529 4.5962 Å, 90.00 90.00 90.00°
Last column: nearest neighbours and their distance in Å.
Space group P4/mmm (No. 123)
Symmetry-distinct sites (fractional):
Zr 0.0000 0.5000 0.0000 (multiplicity 2)  2 Br 2.48
Ge 0.0000 0.0000 0.5000 (multiplicity 1)  8 Zr 3.38, 4 Mo 3.50
Mo 0.5000 0.5000 0.5000 (multiplicity 1)  2 Br 2.30
Br 0.5000 0.5000 0.0000 (multiplicity 1)  2 Mo 2.30, 4 Zr 2.48

=====

[11]
VASP calculation (PBE) on a geometry-optimized GeBrN structure.

Results
- excess energy over the best structure of this formula in the dataset (eV per atom) = 0.000
- ΔE_f (raw) (kJ per mole of atoms) = 0.3
- DOS at the Fermi energy (states/eV/cell) = 0.00

Cell: 3.3311 3.8637 9.2514 Å, 90.00 90.00 90.00°
Last column: nearest neighbours and their distance in Å.
Space group Pmmn (No. 59, origin choice 2)
Symmetry-distinct sites (fractional):
Ge 0.2500 0.2500 0.0887 (multiplicity 2)  4 N 1.98-2.06
Br 0.2500 0.7500 0.6977 (multiplicity 2)  2 Ge 2.58
N 0.2500 0.7500 0.0425 (multiplicity 2)  4 Ge 1.98-2.06

=====

[12]
VASP calculation (PBE) on a geometry-optimized GeBr2N structure.

Results
- excess energy over the best structure of this formula in the dataset (eV per atom) = 0.499
- ΔE_f (raw) (kJ per mole of atoms) = 132.7
- DOS at the Fermi energy (states/eV/cell) = 10.80

Cell: 3.5489 3.5489 25.1392 Å, 90.00 90.00 120.00°
Last column: nearest neighbours and their distance in Å.
Space group R-3m (No. 166, hexagonal axes)
Symmetry-distinct sites (fractional):
Ge 0.0000 0.0000 0.0000 (multiplicity 3)  2 Br 2.56
Br 0.0000 0.0000 0.1017 (multiplicity 6)  1 Ge 2.56, 3 N 2.62
N 0.0000 0.0000 0.5000 (multiplicity 3)  6 Br 2.62

=====

[13]
VASP calculation (PBE) on a geometry-optimized GeBrN3 structure.

Results
- ΔE_f (raw) (kJ per mole of atoms) = 244.4
- DOS at the Fermi energy (states/eV/cell) = 3.49

Cell: 3.9306 3.9306 3.9306 Å, 90.00 90.00 90.00°
Last column: nearest neighbours and their distance in Å.
Space group Pm-3m (No. 221)
Symmetry-distinct sites (fractional):
Ge 0.0000 0.0000 0.0000 (multiplicity 1)  12 N 2.78
Br 0.5000 0.5000 0.5000 (multiplicity 1)  6 N 1.97
N 0.0000 0.5000 0.5000 (multiplicity 3)  2 Br 1.97